Material: NaErScIn
Method: DFT, PBE
State: optimized geometry

Lattice parameters (Å, degrees): 5.2316 5.2316 5.2316 60.00 60.00 60.00
Element x y z (fractional)
Na (0.0000, 0.0000, 0.0000)
Er (0.7500, 0.7500, 0.7500)
Sc (0.2500, 0.2500, 0.2500)
In (0.5000, 0.5000, 0.5000)

Total energy, eV/cell: -15.25
ΔH_f (0 K), kJ per mole of atoms: -7
Total magnetic moment, μB per atom: 0.000